DFT (PBE) results for a relaxed structure of Li2CoNi.

Values from the calculation:
Total magnetic moment = 1.65 μB/f.u.
Energy relative to the lowest polymorph listed for this composition = 0.0553 eV per atom
ΔE_f = 7.9 kJ/mol of atoms

Unit cell a=2.540 b=4.210 c=8.661 alpha=90.00 beta=90.00 gamma=90.00
Space group Immm (No. 71)
Unique sites:
Li  0.000  0.000  0.245 (multiplicity 4)
Co  0.000  0.500  0.000 (multiplicity 2)
Ni  0.000  0.500  0.500 (multiplicity 2)

DFT (PBE) results for a relaxed structure of Bi2SeN.

Values from the calculation:
Total magnetic moment = 0.00 μB/f.u.
Energy relative to the elements, uncorrected = 0.857 eV per atom
Energy relative to the lowest polymorph listed for this composition = 0.4787 eV per atom

Unit cell a=6.976 b=6.976 c=6.976 alpha=90.00 beta=90.00 gamma=90.00
Space group Fm-3m (No. 225)
Unique sites:
Bi  0.250  0.250  0.250 (multiplicity 8)
Se  0.000  0.000  0.000 (multiplicity 4)
N  0.000  0.000  0.500 (multiplicity 4)

DFT (PBE) results for a relaxed structure of Pm2UPb.

Values from the calculation:
Total magnetic moment = 2.03 μB/f.u.
ΔE_f = 33.6 kJ/mol of atoms

Unit cell a=3.3039 b=3.3039 c=36.8722 alpha=90.00 beta=90.00 gamma=120.00
Space group R-3m (No. 166, hexagonal axes)
Unique sites:
Pm  0.0000  0.0000  0.0892 (multiplicity 6)
U  0.0000  0.0000  0.0000 (multiplicity 3)
Pb  0.0000  0.0000  0.5000 (multiplicity 3)

DFT (PBE) results for a relaxed structure of LiTm4In5.

Values from the calculation:
Total magnetic moment = 0.18 μB/f.u.
ΔE_f = -40.0 kJ/mol of atoms

Unit cell a=3.493 b=3.493 c=19.976 alpha=90.00 beta=90.00 gamma=90.00
Space group P4/mmm (No. 123)
Unique sites:
Li  0.000  0.000  0.000 (multiplicity 1)
Tm  0.000  0.000  0.183 (multiplicity 2)
Tm  0.000  0.000  0.394 (multiplicity 2)
In  0.500  0.500  0.079 (multiplicity 2)
In  0.500  0.500  0.288 (multiplicity 2)
In  0.500  0.500  0.500 (multiplicity 1)

DFT (PBE) results for a relaxed structure of K2CrAgH6.

Values from the calculation:
Calculated total energy = -70.5 eV per cell
Total magnetic moment = 3.00 μB/f.u.

Unit cell a=5.423 b=5.423 c=8.431 alpha=90.00 beta=90.00 gamma=90.00
Space group I4/mmm (No. 139)
Unique sites:
K  0.000  0.500  0.250 (multiplicity 4)
Cr  0.000  0.000  0.000 (multiplicity 2)
Ag  0.000  0.000  0.500 (multiplicity 2)
H  0.000  0.000  0.210 (multiplicity 4)
H  0.235  0.235  0.000 (multiplicity 8)

DFT (PBE) results for a relaxed structure of ScBe3B.

Values from the calculation:
Total magnetic moment = 2.14 μB/f.u.
Energy relative to the lowest polymorph listed for this composition = 2.5969 eV per atom
ΔE_f = 257.6 kJ/mol of atoms

Unit cell a=4.837 b=4.837 c=4.837 alpha=90.00 beta=90.00 gamma=90.00
Space group Pm-3m (No. 221)
Unique sites:
Sc  0.000  0.000  0.000 (multiplicity 1)
Be  0.000  0.000  0.500 (multiplicity 3)
B  0.500  0.500  0.500 (multiplicity 1)

DFT (PBE) results for a relaxed structure of LiAc2Zn4.

Values from the calculation:
Total magnetic moment = 0.00 μB/f.u.
ΔE_f = -6.1 kJ/mol of atoms

Unit cell a=4.670 b=4.670 c=16.400 alpha=90.00 beta=90.00 gamma=90.00
Space group I4/mmm (No. 139)
Unique sites:
Li  0.000  0.000  0.000 (multiplicity 2)
Ac  0.000  0.000  0.352 (multiplicity 4)
Zn  0.000  0.000  0.147 (multiplicity 4)
Zn  0.000  0.500  0.000 (multiplicity 4)

DFT (PBE) results for a relaxed structure of NaHfAl.

Values from the calculation:
Total magnetic moment = 0.00 μB/f.u.
Energy relative to the lowest polymorph listed for this composition = 0.5080 eV per atom
ΔE_f = 47.0 kJ/mol of atoms

Unit cell a=5.0958 b=5.0958 c=2.9905 alpha=90.00 beta=90.00 gamma=120.00
Space group P-6m2 (No. 187)
Unique sites:
Na  0.0000  0.0000  0.0000 (multiplicity 1)
Hf  0.6667  0.3333  0.5000 (multiplicity 1)
Al  0.3333  0.6667  0.5000 (multiplicity 1)

DFT (PBE) results for a relaxed structure of SmZnGa2Ag.

Values from the calculation:
Total magnetic moment = 0.00 μB/f.u.
ΔE_f = -41.3 kJ/mol of atoms

Unit cell a=4.260 b=4.260 c=10.870 alpha=90.00 beta=90.00 gamma=90.00
Space group I-4m2 (No. 119)
Unique sites:
Sm  0.000  0.000  0.000 (multiplicity 2)
Zn  0.000  0.500  0.250 (multiplicity 2)
Ga  0.000  0.000  0.388 (multiplicity 4)
Ag  0.000  0.500  0.750 (multiplicity 2)

DFT (PBE) results for a relaxed structure of Ba3LaIn2O8.

Values from the calculation:
Total magnetic moment = 1.13 μB/f.u.
Energy relative to the elements, uncorrected = -2.139 eV per atom

Unit cell a=6.3358 b=6.3358 c=7.9152 alpha=90.00 beta=90.00 gamma=120.00
Space group P-3m1 (No. 164)
Unique sites:
Ba  0.0000  0.0000  0.0000 (multiplicity 1)
Ba  0.3333  0.6667  0.6341 (multiplicity 2)
La  0.0000  0.0000  0.5000 (multiplicity 1)
In  0.3333  0.6667  0.1908 (multiplicity 2)
O  0.1670  0.3340  0.3159 (multiplicity 6)
O  0.3333  0.6667  0.9389 (multiplicity 2)

DFT (PBE) results for a relaxed structure of Na2CoRu.

Values from the calculation:
Total magnetic moment = 3.56 μB/f.u.
Energy relative to the lowest polymorph listed for this composition = 0.0000 eV per atom
ΔE_f = 112.6 kJ/mol of atoms

Unit cell a=7.931 b=7.931 c=4.919 alpha=90.00 beta=90.00 gamma=90.00
Space group I-42d (No. 122)
Unique sites:
Na  0.234  0.250  0.125 (multiplicity 8)
Co  0.000  0.000  0.000 (multiplicity 4)
Ru  0.000  0.000  0.500 (multiplicity 4)

DFT (PBE) results for a relaxed structure of LiSb2P.

Values from the calculation:
Total magnetic moment = 0.00 μB/f.u.
Energy relative to the elements, uncorrected = 0.052 eV per atom

Unit cell a=3.544 b=4.841 c=10.297 alpha=90.00 beta=90.00 gamma=90.00
Space group Imm2 (No. 44)
Unique sites:
Li  0.000  0.000  0.000 (multiplicity 2)
Sb  0.000  0.000  0.580 (multiplicity 2)
Sb  0.000  0.500  0.801 (multiplicity 2)
P  0.000  0.500  0.284 (multiplicity 2)